Compound: Cd5InAg8
Source: Alexandria
Functional: PBE-GGA
Structure: optimized geometry

## Properties
E = -2.110 eV per atom

abc: 7.3107 7.3107 7.3107
angles: 114.81 114.81 99.26
Atoms (fractional coordinates):
Cd1 0.0000 0.0000 0.0000
Cd2 0.3005 0.2152 0.6356
Cd3 0.3351 0.6995 0.9147
Cd4 0.5796 0.6649 0.3644
Cd5 0.7848 0.4204 0.0853
In1 0.7500 0.2500 0.5000
Ag1 0.0578 0.8091 0.5956
Ag2 0.1004 0.3431 0.9232
Ag3 0.1909 0.7865 0.2487
Ag4 0.2135 0.4623 0.4044
Ag5 0.4198 0.1772 0.0768
Ag6 0.5377 0.9422 0.7513
Ag7 0.6569 0.5802 0.7573
Ag8 0.8228 0.8996 0.2427

***

Compound: Cd4InAg2
Source: Alexandria
Functional: PBE-GGA
Structure: optimized geometry

## Properties
polymorph energy (0 for the lowest one) = 0.00 eV per formula unit
E = -1.738 eV per atom

abc: 5.9536 7.2702 7.4308
angles: 95.26 99.29 104.06
Atoms (fractional coordinates):
Cd1 0.0000 0.0000 0.0000
Cd2 0.0016 0.3298 0.4399
Cd3 0.1320 0.6316 0.8217
Cd4 0.2608 0.4071 0.1289
Cd5 0.4757 0.8939 0.6782
Cd6 0.5970 0.5135 0.5146
Cd7 0.6443 0.2274 0.0943
Cd8 0.9568 0.9205 0.5882
In1 0.0200 0.6941 0.2570
In2 0.5579 0.8345 0.2292
Ag1 0.3139 0.2600 0.7593
Ag2 0.3411 0.1114 0.3724
Ag3 0.6518 0.6173 0.9137
Ag4 0.8077 0.2623 0.7591

***

Compound: CdIn3Ag12
Source: Alexandria
Functional: PBE-GGA
Structure: optimized geometry

## Properties
E = -2.735 eV per atom

abc: 4.2052 4.2052 17.0253
angles: 90.00 90.00 90.00
Atoms (fractional coordinates):
Cd1 0.0000 0.0000 0.0000
In1 0.0000 0.0000 0.2484
In2 0.0000 0.0000 0.5000
In3 0.0000 0.0000 0.7516
Ag1 0.0000 0.5000 0.1237
Ag2 0.0000 0.5000 0.3743
Ag3 0.0000 0.5000 0.6257
Ag4 0.0000 0.5000 0.8763
Ag5 0.5000 0.0000 0.1237
Ag6 0.5000 0.0000 0.3743
Ag7 0.5000 0.0000 0.6257
Ag8 0.5000 0.0000 0.8763
Ag9 0.5000 0.5000 0.0000
Ag10 0.5000 0.5000 0.2498
Ag11 0.5000 0.5000 0.5000
Ag12 0.5000 0.5000 0.7502

***

Number 1: calculated density 8.70 g/cm³, calculated formation energy 57 kJ/mol of formula units. Number 2: calculated density 8.50 g/cm³, calculated formation energy -6 kJ/mol of formula units. Number 3: calculated density 9.66 g/cm³, calculated formation energy -41 kJ/mol of formula units.